--- i ---
This record from the Alexandria database describes a geometry-optimized Si2Te structure. The functional is PBE.

Properties
The value obtained for the density of states at the Fermi level is 1.7 states/eV/cell. As for the symmetry: I4/mmm, No. 139. The calculation puts the magnetization at 0.000 μB per atom.

Unit cell a=7.7787 b=7.7787 c=7.7787 alpha=158.12 beta=158.12 gamma=31.14
Closest atoms and distances in Å follow each position.
Positions (direct):
Si 0.1962 0.1962 0.0000  8 Si 2.64-2.95
Si 0.8038 0.8038 0.0000  8 Si 2.64-2.95
Te 0.5000 0.5000 0.0000  4 Te 2.95


--- ii ---
This record from the Alexandria database describes a geometry-optimized Si2Te structure. The functional is PBE.

Properties
The value obtained for the density of states at the Fermi level is 1.8 states/eV/cell. As for the symmetry: Cmmm, No. 65. The calculation puts the magnetization at 0.000 μB per atom.

Unit cell a=9.8547 b=9.8547 c=3.6843 alpha=90.00 beta=90.00 gamma=158.69
Closest atoms and distances in Å follow each position.
Positions (direct):
Si 0.0000 0.0000 0.0000  8 Si 2.59-2.69
Si 0.1014 0.8986 0.5000  4 Si 2.68-2.69, 4 Te 2.84
Si 0.5000 0.5000 0.5000  8 Si 2.59-2.68
Si 0.8986 0.1014 0.5000  4 Si 2.68-2.69, 4 Te 2.84
Te 0.3391 0.6609 0.0000  4 Si 2.84
Te 0.6609 0.3391 0.0000  4 Si 2.84


Relative energy table, unit meV per atom: i 262; ii 0


--- i ---
This record from the Alexandria database describes a geometry-optimized CaTa2Re structure. The functional is PBE.

Properties
The value obtained for the density of states at the Fermi level is 4.2 states/eV/cell. As for the symmetry: Cmmm, No. 65. The calculation puts the magnetization at 0.000 μB per atom.

Unit cell a=2.9091 b=2.9091 c=9.9421 alpha=90.00 beta=90.00 gamma=111.09
Closest atoms and distances in Å follow each position.
Positions (direct):
Ca 0.0000 0.0000 0.0000  4 Ca 2.91
Ta 0.5000 0.5000 0.2867  2 Re 2.68, 4 Ta 2.91
Ta 0.5000 0.5000 0.7133  2 Re 2.68, 4 Ta 2.91
Re 0.0000 0.0000 0.5000  4 Ta 2.68, 4 Re 2.91


--- ii ---
This record from the Alexandria database describes a geometry-optimized CaTa2Re structure. The functional is PBE.

Properties
The value obtained for the density of states at the Fermi level is 5.8 states/eV/cell. As for the symmetry: F-43m, No. 216. The calculation puts the magnetization at 0.000 μB per atom.

Unit cell a=4.7394 b=4.7394 c=4.7394 alpha=60.00 beta=60.00 gamma=60.00
Closest atoms and distances in Å follow each position.
Positions (direct):
Ca 0.0000 0.0000 0.0000  4 Ta 2.90, 4 Re 2.90
Ta 0.5000 0.5000 0.5000  4 Ta 2.90, 4 Re 2.90
Ta 0.7500 0.7500 0.7500  4 Ta 2.90, 4 Ca 2.90
Re 0.2500 0.2500 0.2500  4 Ta 2.90, 4 Ca 2.90


Relative energy table, unit meV per atom: i 0; ii 287


--- i ---
This record from the Alexandria database describes a geometry-optimized BaZrAg2 structure. The functional is PBE.

Properties
The value obtained for the density of states at the Fermi level is 4.7 states/eV/cell. As for the symmetry: Imm2, No. 44. The calculation puts the magnetization at 0.000 μB per atom.

Unit cell a=6.5202 b=6.5202 c=6.5202 alpha=150.51 beta=130.90 gamma=58.32
Closest atoms and distances in Å follow each position.
Positions (direct):
Ba 0.0000 0.0000 0.0000  6 Ag 3.19-3.47, 2 Ba 3.32
Zr 0.2913 0.7913 0.5000  6 Ag 3.12-3.25, 2 Zr 3.32
Ag 0.5228 0.5228 0.0000  2 Ag 2.91, 2 Zr 3.12, 4 Ba 3.19
Ag 0.7327 0.2327 0.5000  2 Ag 2.91, 4 Zr 3.25


--- ii ---
This record from the Alexandria database describes a geometry-optimized BaZrAg2 structure. The functional is PBE.

Properties
The value obtained for the density of states at the Fermi level is 3.6 states/eV/cell. As for the symmetry: I-4m2, No. 119. The calculation puts the magnetization at 0.348 μB per atom.

Unit cell a=6.0341 b=6.0341 c=6.0341 alpha=136.31 beta=136.31 gamma=63.50
Closest atoms and distances in Å follow each position.
Positions (direct):
Ba 0.0000 0.0000 0.0000  8 Ag 3.18-3.41, 4 Zr 3.41
Zr 0.2500 0.7500 0.5000  8 Ag 3.18-3.41, 4 Ba 3.41
Ag 0.5000 0.5000 0.0000  4 Ba 3.18, 4 Zr 3.41, 4 Ag 3.41
Ag 0.7500 0.2500 0.5000  4 Zr 3.18, 4 Ba 3.41, 4 Ag 3.41


Relative energy table, unit meV per atom: i 0; ii 113